# 1
A relaxed TbTm4Rh5 crystal, computed with PBE-GGA.

The space group is P4/mmm (No. 123) and the conventional cell measures 3.350, 3.350 and 17.360 Å, with angles of 90.00, 90.00 and 90.00 degrees. The distinct sites, in fractional coordinates, are Tb at (0.000, 0.000, 0.000), Tm at (0.000, 0.000, 0.202), Tm at (0.000, 0.000, 0.401), Rh at (0.500, 0.500, 0.104), Rh at (0.500, 0.500, 0.302) and Rh at (0.500, 0.500, 0.500).

For the energy of formation from the pure elements, the calculation gives -0.94 eV/atom. As for the density of states at the Fermi level: 0.540 states/eV per atom. The size of the total moment is 0.0 μB per cell. The calculated density is 11.50 g/cm3.

---

# 2
A relaxed Tb4TmRh2 crystal, computed with PBE-GGA.

The space group is P2_1/m (No. 11) and the conventional cell measures 7.828, 6.354 and 7.889 Å, with angles of 90.00, 112.80 and 90.00 degrees. The distinct sites, in fractional coordinates, are Tb at (0.018, 0.250, 0.382), Tb at (0.246, 0.750, 0.335), Tb at (0.412, 0.003, 0.765), Tm at (0.158, 0.250, 0.030), Rh at (0.244, 0.750, 0.989) and Rh at (0.374, 0.250, 0.410).

For the energy of formation from the pure elements, the calculation gives -0.47 eV/atom. As for the density of states at the Fermi level: 1.117 states/eV per atom. The size of the total moment is 0.0 μB per cell. The calculated density is 9.28 g/cm3.

---

# 3
A relaxed TbTm3Rh crystal, computed with PBE-GGA.

The space group is C2/m (No. 12) and the conventional cell measures 11.613, 8.415 and 7.957 Å, with angles of 90.00, 132.66 and 90.00 degrees. The distinct sites, in fractional coordinates, are Tb at (0.051, 0.000, 0.336), Tm at (0.055, 0.500, 0.262), Tm at (0.243, 0.302, 0.784) and Rh at (0.246, 0.500, 0.113).

For the energy of formation from the pure elements, the calculation gives -0.37 eV/atom. As for the density of states at the Fermi level: 1.132 states/eV per atom. The size of the total moment is 2.4 μB per cell. The calculated density is 8.93 g/cm3.

---

# 4
A relaxed TbTm2Rh crystal, computed with PBE-GGA.

The space group is P4/mmm (No. 123) and the conventional cell measures 3.455, 3.455 and 8.507 Å, with angles of 90.00, 90.00 and 90.00 degrees. The distinct sites, in fractional coordinates, are Tb at (0.000, 0.000, 0.000), Tm at (0.500, 0.500, 0.310) and Rh at (0.000, 0.000, 0.500).

For the energy of formation from the pure elements, the calculation gives -0.45 eV/atom. As for the density of states at the Fermi level: 1.141 states/eV per atom. The size of the total moment is 0.0 μB per cell. The calculated density is 9.81 g/cm3.